Record 1
A plane-wave DFT calculation with PBE was carried out for a geometry-optimized CdSbOs2 structure.

crystal system: monoclinic
symmetry: No. 8
energy above the most stable polymorph in this dataset: 95 kJ/mol of formula units

```
4
Lattice="5.650 0.177 1.059 4.761 3.047 1.059 1.929 0.598 4.766" Properties=species:S:1:pos:R:3 pbc="T T T"
Sb 5.926 1.835 3.356
Os 9.178 2.843 5.650
Os 1.934 0.599 4.179
Cd 3.400 1.053 1.907
```



Record 2
A plane-wave DFT calculation with PBE was carried out for a geometry-optimized Dy2TlPb9 structure.

crystal system: tetragonal
energy of formation: -0.18 eV/atom
symmetry: No. 123

```
12
Lattice="4.812 0.000 0.000 0.000 4.812 0.000 0.000 0.000 15.478" Properties=species:S:1:pos:R:3 pbc="T T T"
Dy 0.000 0.000 10.079
Dy 0.000 0.000 5.399
Pb 0.000 2.406 2.674
Pb 2.406 2.406 5.152
Pb 2.406 2.406 0.000
Pb 0.000 2.406 12.804
Pb 0.000 2.406 7.739
Pb 2.406 0.000 12.804
Pb 2.406 0.000 2.674
Pb 2.406 2.406 10.326
Pb 2.406 0.000 7.739
Tl 0.000 0.000 0.000
```



Record 3
A plane-wave DFT calculation with PBE was carried out for a geometry-optimized LiSnB structure.

crystal system: monoclinic
energy of formation: 0.04 eV/atom
symmetry: No. 12
energy above the most stable polymorph in this dataset: 37 kJ/mol of formula units

```
6
Lattice="-0.720 1.165 -2.785 0.476 -5.991 -0.900 -5.419 -8.470 -2.143" Properties=species:S:1:pos:R:3 pbc="T T T"
Sn -1.344 -4.746 -1.638
Sn -4.319 -8.549 -4.190
B -2.457 -6.796 -2.208
B -3.207 -6.500 -3.620
Li -0.825 -1.779 -0.531
Li -4.838 -11.517 -5.297
```



Record 4
A plane-wave DFT calculation with PBE was carried out for a geometry-optimized GaBiS structure.

crystal system: tetragonal
symmetry: No. 140
energy above the most stable polymorph in this dataset: 103 kJ/mol of formula units

```
12
Lattice="5.431 -2.245 6.206 -6.147 4.932 3.306 -3.479 -7.005 -3.446" Properties=species:S:1:pos:R:3 pbc="T T T"
S -0.657 -3.612 0.971
S -3.538 -0.705 5.096
S 1.700 -1.684 5.767
S -5.896 -2.633 0.300
Bi -4.072 1.929 4.311
Bi -1.041 -2.253 5.721
Bi -0.124 -6.246 1.756
Bi -3.155 -2.064 0.346
Ga -2.098 -2.159 3.033
Ga -3.074 2.466 1.653
Ga -1.740 -3.502 -1.723
Ga 2.715 -1.122 3.103
```



Record 5
A plane-wave DFT calculation with PBE was carried out for a geometry-optimized V5Sb structure.

crystal system: orthorhombic
electronic total energy: -50.02 eV for the cell shown
symmetry: No. 65

```
6
Lattice="-3.218 0.487 0.130 -0.630 -4.252 0.334 0.635 2.568 6.068" Properties=species:S:1:pos:R:3 pbc="T T T"
V -1.495 0.402 2.296
V -1.719 -1.599 4.237
V -0.210 -1.981 2.208
V -1.924 -1.883 0.232
V 0.215 0.298 4.194
Sb 0.000 0.000 0.000
```



Record 6
A plane-wave DFT calculation with PBE was carried out for a geometry-optimized AcTbGe2Pt5 structure.

crystal system: tetragonal
energy of formation: -0.84 eV/atom
symmetry: No. 123

```
9
Lattice="-3.657 -0.663 2.423 0.870 -4.349 0.123 4.773 1.167 7.522" Properties=species:S:1:pos:R:3 pbc="T T T"
Pt 0.993 -1.923 5.034
Pt -0.597 -0.030 3.153
Pt 1.667 -1.873 2.002
Pt 3.976 -1.309 5.642
Pt 1.713 0.534 6.793
Ac 2.386 0.584 3.761
Ge -0.741 -2.347 2.301
Ge 2.727 -1.499 7.767
Tb 0.000 0.000 0.000
```